YInTc2 | GGA-PBE | relaxed

a = 5.223 Å, b = 5.223 Å, c = 4.851 Å
α = 69.01°, β = 69.01°, γ = 44.69°
Element x y z (fractional)
Tc  0.510  0.510  0.385
Tc  0.990  0.990  0.115
Y  0.750  0.750  0.750
In  0.250  0.250  0.250

## Properties
The density of states at the Fermi level is 2.3 states/eV/f.u. For the total energy, the calculation gives -7.33 eV per atom.